Entry 1:
The following is a DFT calculation (PBE-GGA) of an optimized crystal structure of Ce2SnBi4.

Cell and atoms, written as POSCAR:
```
Ce2SnBi4
1.0
4.5685 -4.9513 0.0000
4.5685 4.9513 0.0000
-4.5438 0.0000 4.9453
Ce Sn Bi
2 1 4
Direct
0.0000 0.5000 0.0000 Ce
0.5000 0.0000 0.0000 Ce
0.0000 0.0000 0.5000 Sn
0.0000 0.0000 0.0000 Bi
0.0000 0.5000 0.5000 Bi
0.5000 0.0000 0.5000 Bi
0.5000 0.5000 0.0000 Bi
```

* excess energy over the best structure of this formula in the dataset: 0.000 eV per formula unit

---

Entry 2:
The following is a DFT calculation (PBE-GGA) of an optimized crystal structure of Ce10Sn6Bi.

Cell and atoms, written as POSCAR:
```
Ce10Sn6Bi
1.0
9.5384 0.0000 0.0000
-4.7692 8.2605 0.0000
0.0000 0.0000 6.5322
Ce Sn Bi
10 6 1
Direct
0.0000 0.2787 0.2577 Ce
0.0000 0.7213 0.7423 Ce
0.2787 0.0000 0.2577 Ce
0.2787 0.2787 0.7423 Ce
0.3333 0.6667 0.0000 Ce
0.3333 0.6667 0.5000 Ce
0.6667 0.3333 0.0000 Ce
0.6667 0.3333 0.5000 Ce
0.7213 0.0000 0.7423 Ce
0.7213 0.7213 0.2577 Ce
0.0000 0.3780 0.7526 Sn
0.0000 0.6220 0.2474 Sn
0.3780 0.0000 0.7526 Sn
0.3780 0.3780 0.2474 Sn
0.6220 0.0000 0.2474 Sn
0.6220 0.6220 0.7526 Sn
0.0000 0.0000 0.0000 Bi
```

---

Entry 3:
The following is a DFT calculation (PBE-GGA) of an optimized crystal structure of CeSn2Bi3.

Cell and atoms, written as POSCAR:
```
CeSn2Bi3
1.0
2.6391 -6.1189 0.0000
2.6391 6.1189 0.0000
0.0000 0.0000 5.5958
Ce Sn Bi
1 2 3
Direct
0.0000 0.0000 0.0000 Ce
0.3132 0.6868 0.0000 Sn
0.6868 0.3132 0.0000 Sn
0.1647 0.8353 0.5000 Bi
0.5000 0.5000 0.5000 Bi
0.8353 0.1647 0.5000 Bi
```

---

Entry 4:
The following is a DFT calculation (PBE-GGA) of an optimized crystal structure of CeSnBi2.

Cell and atoms, written as POSCAR:
```
CeSnBi2
1.0
1.7032 0.9833 12.5931
-1.7032 0.9833 12.5931
0.0000 -1.9666 12.5931
Ce Sn Bi
1 1 2
Direct
0.0000 0.0000 0.0000 Ce
0.5000 0.5000 0.5000 Sn
0.0873 0.0873 0.0873 Bi
0.9127 0.9127 0.9127 Bi
```

* excess energy over the best structure of this formula in the dataset: 2.545 eV per formula unit

---

Entry 5:
The following is a DFT calculation (PBE-GGA) of an optimized crystal structure of Ce2SnBi4.

Cell and atoms, written as POSCAR:
```
Ce2SnBi4
1.0
4.6225 0.0000 0.0000
0.0000 4.6225 0.0000
0.0000 0.0000 10.6821
Ce Sn Bi
2 1 4
Direct
0.0000 0.5000 0.2399 Ce
0.5000 0.0000 0.7601 Ce
0.0000 0.0000 0.5000 Sn
0.0000 0.0000 0.0000 Bi
0.0000 0.5000 0.7035 Bi
0.5000 0.0000 0.2965 Bi
0.5000 0.5000 0.0000 Bi
```

* excess energy over the best structure of this formula in the dataset: 0.306 eV per formula unit

---

Entry 6:
The following is a DFT calculation (PBE-GGA) of an optimized crystal structure of Ce2SnBi2.

Cell and atoms, written as POSCAR:
```
Ce2SnBi2
1.0
0.0000 7.5438 11.2362
1.7753 0.0000 11.2362
1.7753 7.5438 0.0000
Ce Sn Bi
4 2 4
Direct
0.0508 0.6992 0.0508 Ce
0.3008 0.9492 0.3008 Ce
0.6992 0.0508 0.6992 Ce
0.9492 0.3008 0.9492 Ce
0.3750 0.3750 0.3750 Sn
0.6250 0.6250 0.6250 Sn
0.0000 0.5000 0.5000 Bi
0.5000 0.0000 0.5000 Bi
0.5000 0.5000 0.0000 Bi
0.5000 0.5000 0.5000 Bi
```

---

Entry 7:
The following is a DFT calculation (PBE-GGA) of an optimized crystal structure of Ce2SnBi3.

Cell and atoms, written as POSCAR:
```
Ce2SnBi3
1.0
4.5169 0.0000 0.0000
0.0000 4.5169 0.0000
0.0000 0.0000 8.9310
Ce Sn Bi
2 1 3
Direct
0.0000 0.5000 0.2114 Ce
0.5000 0.0000 0.7886 Ce
0.0000 0.0000 0.5000 Sn
0.0000 0.5000 0.8447 Bi
0.5000 0.0000 0.1553 Bi
0.5000 0.5000 0.5000 Bi
```

---

Entry 8:
The following is a DFT calculation (PBE-GGA) of an optimized crystal structure of Ce3SnBi2.

Cell and atoms, written as POSCAR:
```
Ce3SnBi2
1.0
6.4529 0.0000 0.0000
0.0000 13.6978 0.0000
-0.0001 0.0000 9.1216
Ce Sn Bi
12 4 8
Direct
0.2493 0.2501 0.3753 Ce
0.2493 0.2499 0.8753 Ce
0.2504 0.5814 0.3705 Ce
0.2503 0.5816 0.8795 Ce
0.2503 0.9184 0.3795 Ce
0.2504 0.9186 0.8705 Ce
0.7496 0.0814 0.1295 Ce
0.7497 0.0816 0.6205 Ce
0.7497 0.4184 0.1205 Ce
0.7496 0.4186 0.6295 Ce
0.7507 0.7501 0.1247 Ce
0.7507 0.7499 0.6247 Ce
0.2497 0.0858 0.6253 Sn
0.2497 0.4142 0.1253 Sn
0.7503 0.5858 0.8747 Sn
0.7503 0.9142 0.3747 Sn
0.2496 0.0829 0.1252 Bi
0.2496 0.4171 0.6252 Bi
0.2507 0.7473 0.6251 Bi
0.2507 0.7527 0.1251 Bi
0.7493 0.2473 0.8749 Bi
0.7493 0.2527 0.3749 Bi
0.7504 0.5829 0.3748 Bi
0.7504 0.9171 0.8748 Bi
```

---

Entry 9:
The following is a DFT calculation (PBE-GGA) of an optimized crystal structure of Ce5Sn2Bi2.

Cell and atoms, written as POSCAR:
```
Ce5Sn2Bi2
1.0
8.0236 -4.2147 0.0000
8.0236 4.2147 0.0000
0.0000 0.0000 8.4360
Ce Sn Bi
10 4 4
Direct
0.0000 0.0000 0.0000 Ce
0.0398 0.6922 0.6724 Ce
0.1922 0.5398 0.1724 Ce
0.3078 0.9602 0.6724 Ce
0.4602 0.8078 0.1724 Ce
0.5000 0.5000 0.5000 Ce
0.5398 0.1922 0.8276 Ce
0.6922 0.0398 0.3276 Ce
0.8078 0.4602 0.8276 Ce
0.9602 0.3078 0.3276 Ce
0.1281 0.8719 0.3712 Sn
0.3719 0.6281 0.8712 Sn
0.6281 0.3719 0.1288 Sn
0.8719 0.1281 0.6288 Sn
0.2070 0.2070 0.0000 Bi
0.2930 0.2930 0.5000 Bi
0.7070 0.7070 0.5000 Bi
0.7930 0.7930 0.0000 Bi
```

* excess energy over the best structure of this formula in the dataset: 0.000 eV per formula unit

---

Entry 10:
The following is a DFT calculation (PBE-GGA) of an optimized crystal structure of Ce3SnBi2.

Cell and atoms, written as POSCAR:
```
Ce3SnBi2
1.0
3.9528 -6.8449 0.0000
3.9528 6.8449 0.0000
-2.6374 0.0000 7.4500
Ce Sn Bi
6 2 4
Direct
0.0000 0.5000 0.0000 Ce
0.1617 0.3244 0.4977 Ce
0.3244 0.1617 0.9977 Ce
0.5000 0.0000 0.5000 Ce
0.6756 0.8383 0.0023 Ce
0.8383 0.6756 0.5023 Ce
0.0860 0.9140 0.2500 Sn
0.9140 0.0860 0.7500 Sn
0.2529 0.7471 0.7500 Bi
0.4172 0.5828 0.2500 Bi
0.5828 0.4172 0.7500 Bi
0.7471 0.2529 0.2500 Bi
```

---

Number 1: total moment 1.10 μB/f.u., final energy -4.9522 eV per atom. Number 2: total moment 12.47 μB/f.u., final energy -5.7075 eV per atom. Number 3: total moment 0.95 μB/f.u., final energy -4.4566 eV per atom. Number 4: total moment 1.38 μB/f.u., final energy -4.2554 eV per atom. Number 5: total moment 1.83 μB/f.u., final energy -4.9086 eV per atom. Number 6: total moment 0.87 μB/f.u., final energy -4.9497 eV per atom. Number 7: total moment 0.10 μB/f.u., final energy -5.1556 eV per atom. Number 8: total moment 1.93 μB/f.u., final energy -5.6145 eV per atom. Number 9: total moment 6.15 μB/f.u., final energy -5.7037 eV per atom. Number 10: total moment 1.92 μB/f.u., final energy -5.6156 eV per atom.